# 1
This record from the Alexandria database describes a relaxed structure of Pm7PrHo12. The functional is GGA-PBE.

abc: 8.7354 8.7354 8.7354
angles: 94.86 94.86 94.86
With the nearest neighbours (Å) after each atom.
Positions (direct):
Pm: 0.0000 0.0000 0.0000  6 Ho 3.04
Pm: 0.1397 0.4054 0.4723  1 Pm 3.11, 2 Ho 3.11-3.41, 1 Pr 3.17
Pm: 0.4054 0.4723 0.1397  1 Pm 3.11, 2 Ho 3.11-3.41, 1 Pr 3.17
Pm: 0.4723 0.1397 0.4054  1 Pm 3.11, 2 Ho 3.11-3.41, 1 Pr 3.17
Pm: 0.5277 0.8603 0.5946  1 Pm 3.11, 2 Ho 3.11-3.41, 1 Pr 3.17
Pm: 0.5946 0.5277 0.8603  1 Pm 3.11, 2 Ho 3.11-3.41, 1 Pr 3.17
Pm: 0.8603 0.5946 0.5277  1 Pm 3.11, 2 Ho 3.11-3.41, 1 Pr 3.17
Pr: 0.5000 0.5000 0.5000  6 Pm 3.17
Ho: 0.0012 0.0745 0.3460  2 Pm 3.04-3.11, 2 Ho 3.09-3.36
Ho: 0.0745 0.3460 0.0012  2 Pm 3.04-3.11, 2 Ho 3.09-3.36
Ho: 0.1890 0.7540 0.3263  4 Ho 3.36-3.70, 4 Pm 3.41-3.72
Ho: 0.2460 0.6737 0.8110  4 Ho 3.36-3.70, 4 Pm 3.41-3.72
Ho: 0.3263 0.1890 0.7540  4 Ho 3.36-3.70, 4 Pm 3.41-3.72
Ho: 0.3460 0.0012 0.0745  2 Pm 3.04-3.11, 2 Ho 3.09-3.36
Ho: 0.6540 0.9988 0.9255  2 Pm 3.04-3.11, 2 Ho 3.09-3.36
Ho: 0.6737 0.8110 0.2460  4 Ho 3.36-3.70, 4 Pm 3.41-3.72
Ho: 0.7540 0.3263 0.1890  4 Ho 3.36-3.70, 4 Pm 3.41-3.72
Ho: 0.8110 0.2460 0.6737  4 Ho 3.36-3.70, 4 Pm 3.41-3.72
Ho: 0.9255 0.6540 0.9988  2 Pm 3.04-3.11, 2 Ho 3.09-3.36
Ho: 0.9988 0.9255 0.6540  2 Pm 3.04-3.11, 2 Ho 3.09-3.36

Calculated values
The value obtained for the density of states at the Fermi level is 0.94 states/eV/atom. As for the energy above the lowest structure with this stoichiometry: 0.000 eV per formula unit. As for the symmetry: R-3, No. 148.

---

# 2
This record from the Alexandria database describes a relaxed structure of Pm7Pr12Ho. The functional is GGA-PBE.

abc: 8.9521 8.9521 8.9521
angles: 88.19 88.19 88.19
With the nearest neighbours (Å) after each atom.
Positions (direct):
Pm: 0.0000 0.0000 0.0000  6 Pr 3.35
Pm: 0.1105 0.4272 0.3541  3 Pm 3.49-3.58, 7 Pr 3.67-3.90, 1 Ho 3.84
Pm: 0.3541 0.1105 0.4272  3 Pm 3.49-3.58, 7 Pr 3.67-3.90, 1 Ho 3.84
Pm: 0.4272 0.3541 0.1105  3 Pm 3.49-3.58, 7 Pr 3.67-3.90, 1 Ho 3.84
Pm: 0.5728 0.6459 0.8895  3 Pm 3.49-3.58, 7 Pr 3.67-3.90, 1 Ho 3.84
Pm: 0.6459 0.8895 0.5728  3 Pm 3.49-3.58, 7 Pr 3.67-3.90, 1 Ho 3.84
Pm: 0.8895 0.5728 0.6459  3 Pm 3.49-3.58, 7 Pr 3.67-3.90, 1 Ho 3.84
Pr: 0.0102 0.8877 0.3605  4 Pr 3.25-3.47, 1 Pm 3.35
Pr: 0.1123 0.6395 0.9898  4 Pr 3.25-3.47, 1 Pm 3.35
Pr: 0.2252 0.3558 0.7556  3 Pr 3.29-3.47, 1 Ho 3.55, 1 Pm 3.67
Pr: 0.2444 0.7748 0.6442  3 Pr 3.29-3.47, 1 Ho 3.55, 1 Pm 3.67
Pr: 0.3558 0.7556 0.2252  3 Pr 3.29-3.47, 1 Ho 3.55, 1 Pm 3.67
Pr: 0.3605 0.0102 0.8877  4 Pr 3.25-3.47, 1 Pm 3.35
Pr: 0.6395 0.9898 0.1123  4 Pr 3.25-3.47, 1 Pm 3.35
Pr: 0.6442 0.2444 0.7748  3 Pr 3.29-3.47, 1 Ho 3.55, 1 Pm 3.67
Pr: 0.7556 0.2252 0.3558  3 Pr 3.29-3.47, 1 Ho 3.55, 1 Pm 3.67
Pr: 0.7748 0.6442 0.2444  3 Pr 3.29-3.47, 1 Ho 3.55, 1 Pm 3.67
Pr: 0.8877 0.3605 0.0102  4 Pr 3.25-3.47, 1 Pm 3.35
Pr: 0.9898 0.1123 0.6395  4 Pr 3.25-3.47, 1 Pm 3.35
Ho: 0.5000 0.5000 0.5000  6 Pr 3.55, 6 Pm 3.84

Calculated values
The value obtained for the density of states at the Fermi level is 2.02 states/eV/atom. As for the energy above the lowest structure with this stoichiometry: 0.000 eV per formula unit. As for the symmetry: R-3, No. 148.

---

# 3
This record from the Alexandria database describes a relaxed structure of Pm4Pr3Ho. The functional is GGA-PBE.

abc: 12.9419 12.9419 6.2966
angles: 95.15 95.15 15.58
With the nearest neighbours (Å) after each atom.
Positions (direct):
Pm: 0.1058 0.1058 0.2418  3 Pr 3.29-3.30, 4 Pm 3.45-3.51, 2 Ho 3.47
Pm: 0.2785 0.2785 0.7628  1 Pr 3.44, 4 Pm 3.45-3.51
Pm: 0.7215 0.7215 0.2372  1 Pr 3.44, 4 Pm 3.45-3.51
Pm: 0.8942 0.8942 0.7582  3 Pr 3.29-3.30, 4 Pm 3.45-3.51, 2 Ho 3.47
Pr: 0.0000 0.0000 0.5000  2 Pm 3.29, 2 Pr 3.51, 4 Ho 3.60
Pr: 0.1442 0.1442 0.7566  3 Pm 3.29-3.44, 2 Pr 3.51
Pr: 0.8558 0.8558 0.2434  3 Pm 3.29-3.44, 2 Pr 3.51
Ho: 0.5000 0.5000 0.0000  4 Pm 3.47, 2 Ho 3.51, 4 Pr 3.60

Calculated values
The value obtained for the density of states at the Fermi level is 1.46 states/eV/atom. As for the energy above the lowest structure with this stoichiometry: 1.385 eV per formula unit. As for the symmetry: C2/m, No. 12.

---

# 4
This record from the Alexandria database describes a relaxed structure of PmPr3Ho4. The functional is GGA-PBE.

abc: 11.6104 7.3404 6.3150
angles: 90.00 90.00 90.00
With the nearest neighbours (Å) after each atom.
Positions (direct):
Pm: 0.0000 0.1296 0.0000  6 Ho 3.59-3.74, 6 Pr 3.60-3.68
Pm: 0.5000 0.8704 0.5000  6 Ho 3.59-3.74, 6 Pr 3.60-3.68
Pr: 0.0000 0.8717 0.4994  4 Pr 3.60-3.61, 6 Ho 3.60-3.73, 2 Pm 3.68
Pr: 0.2504 0.1284 0.3370  6 Ho 3.59-3.73, 4 Pr 3.60-3.68, 2 Pm 3.60-3.61
Pr: 0.2496 0.8716 0.8370  6 Ho 3.59-3.73, 4 Pr 3.60-3.68, 2 Pm 3.60-3.61
Pr: 0.5000 0.1283 0.9994  4 Pr 3.60-3.61, 6 Ho 3.60-3.73, 2 Pm 3.68
Pr: 0.7496 0.1284 0.3370  6 Ho 3.59-3.73, 4 Pr 3.60-3.68, 2 Pm 3.60-3.61
Pr: 0.7504 0.8716 0.8370  6 Ho 3.59-3.73, 4 Pr 3.60-3.68, 2 Pm 3.60-3.61
Ho: 0.0000 0.3795 0.5022  6 Ho 3.56-3.62, 4 Pr 3.60-3.73, 2 Pm 3.64-3.66
Ho: 0.0000 0.6200 0.0013  6 Ho 3.55-3.62, 4 Pr 3.59-3.67, 2 Pm 3.60-3.74
Ho: 0.2495 0.3797 0.8345  6 Ho 3.55-3.62, 1 Pm 3.59, 5 Pr 3.60-3.73
Ho: 0.2505 0.6203 0.3345  6 Ho 3.55-3.62, 1 Pm 3.59, 5 Pr 3.60-3.73
Ho: 0.5000 0.3800 0.5013  6 Ho 3.55-3.62, 4 Pr 3.59-3.67, 2 Pm 3.60-3.74
Ho: 0.5000 0.6205 0.0022  6 Ho 3.56-3.62, 4 Pr 3.60-3.73, 2 Pm 3.64-3.66
Ho: 0.7495 0.6203 0.3345  6 Ho 3.55-3.62, 1 Pm 3.59, 5 Pr 3.60-3.73
Ho: 0.7505 0.3797 0.8345  6 Ho 3.55-3.62, 1 Pm 3.59, 5 Pr 3.60-3.73

Calculated values
The value obtained for the density of states at the Fermi level is 1.84 states/eV/atom. As for the energy above the lowest structure with this stoichiometry: 0.068 eV per formula unit. As for the symmetry: Pmn2_1, No. 31.

---

# 5
This record from the Alexandria database describes a relaxed structure of Pm3Pr4Ho4. The functional is GGA-PBE.

abc: 10.8325 6.7131 6.7131
angles: 50.89 90.00 90.00
With the nearest neighbours (Å) after each atom.
Positions (direct):
Pm: 0.0000 0.0000 0.0000  7 Pr 3.55-3.82, 5 Ho 3.66-3.76, 2 Pm 3.67
Pm: 0.2893 0.1581 0.1581  2 Ho 3.31-3.58, 4 Pr 3.56-3.70, 1 Pm 3.67
Pm: 0.7107 0.1581 0.1581  2 Ho 3.31-3.58, 4 Pr 3.56-3.70, 1 Pm 3.67
Pr: 0.0000 0.7069 0.7069  2 Ho 3.10, 2 Pr 3.39
Pr: 0.2109 0.5002 0.5002  4 Ho 3.32-3.59, 2 Pr 3.39-3.50, 4 Pm 3.56-3.68
Pr: 0.5000 0.6285 0.6285  3 Ho 3.31-3.44, 2 Pr 3.50, 4 Pm 3.70
Pr: 0.7891 0.5002 0.5002  4 Ho 3.32-3.59, 2 Pr 3.39-3.50, 4 Pm 3.56-3.68
Ho: 0.0000 0.3015 0.3015  4 Pr 3.10-3.32
Ho: 0.3043 0.8517 0.8517  4 Pr 3.44-3.73, 2 Ho 3.58, 4 Pm 3.72-3.75
Ho: 0.5000 0.3553 0.3553  2 Pm 3.31, 3 Pr 3.31-3.59, 4 Ho 3.58
Ho: 0.6957 0.8517 0.8517  4 Pr 3.44-3.73, 2 Ho 3.58, 4 Pm 3.72-3.75

Calculated values
The value obtained for the density of states at the Fermi level is 1.55 states/eV/atom. As for the energy above the lowest structure with this stoichiometry: 1.473 eV per formula unit. As for the symmetry: Amm2, No. 38.

---

# 6
This record from the Alexandria database describes a relaxed structure of PmPr3Ho3. The functional is GGA-PBE.

abc: 9.7209 9.7209 5.8231
angles: 90.00 90.00 120.00
With the nearest neighbours (Å) after each atom.
Positions (direct):
Pm: 0.3333 0.6667 0.2500  9 Pr 3.61-3.68, 3 Ho 3.72
Pm: 0.6667 0.3333 0.7500  9 Pr 3.61-3.68, 3 Ho 3.72
Pr: 0.0957 0.4734 0.7500  3 Pm 3.61-3.68, 5 Ho 3.62-3.75, 4 Pr 3.63-3.69
Pr: 0.3777 0.9043 0.7500  3 Pm 3.61-3.68, 5 Ho 3.62-3.75, 4 Pr 3.63-3.69
Pr: 0.4734 0.3777 0.2500  3 Pm 3.61-3.68, 5 Ho 3.62-3.75, 4 Pr 3.63-3.69
Pr: 0.5266 0.6223 0.7500  3 Pm 3.61-3.68, 5 Ho 3.62-3.75, 4 Pr 3.63-3.69
Pr: 0.6223 0.0957 0.2500  3 Pm 3.61-3.68, 5 Ho 3.62-3.75, 4 Pr 3.63-3.69
Pr: 0.9043 0.5266 0.2500  3 Pm 3.61-3.68, 5 Ho 3.62-3.75, 4 Pr 3.63-3.69
Ho: 0.0456 0.2319 0.2500  6 Ho 3.57-3.58, 5 Pr 3.62-3.75, 1 Pm 3.72
Ho: 0.1863 0.9544 0.2500  6 Ho 3.57-3.58, 5 Pr 3.62-3.75, 1 Pm 3.72
Ho: 0.2319 0.1863 0.7500  6 Ho 3.57-3.58, 5 Pr 3.62-3.75, 1 Pm 3.72
Ho: 0.7681 0.8137 0.2500  6 Ho 3.57-3.58, 5 Pr 3.62-3.75, 1 Pm 3.72
Ho: 0.8137 0.0456 0.7500  6 Ho 3.57-3.58, 5 Pr 3.62-3.75, 1 Pm 3.72
Ho: 0.9544 0.7681 0.7500  6 Ho 3.57-3.58, 5 Pr 3.62-3.75, 1 Pm 3.72

Calculated values
The value obtained for the density of states at the Fermi level is 1.75 states/eV/atom. As for the energy above the lowest structure with this stoichiometry: 0.000 eV per formula unit. As for the symmetry: P6_3/m, No. 176.